! AcZnCoO4 PBE+U relaxed; values from VASP
! DFT total energy: -6.24 eV/atom
&SYSTEM
  ibrav = 0, nat = 7, ntyp = 4
/
ATOMIC_SPECIES
Ac 227.00 Ac.upf
Zn 65.41 Zn.upf
Co 58.93 Co.upf
O 16.00 O.upf
CELL_PARAMETERS angstrom
-2.817 2.817 3.279
2.817 -2.817 3.279
2.817 2.817 -3.279
ATOMIC_POSITIONS crystal
Ac 0.000 0.000 0.000
Zn 0.500 0.500 0.000
Co 0.750 0.250 0.500
O 0.087 0.151 0.595
O 0.508 0.913 0.064
O 0.556 0.492 0.405
O 0.849 0.444 0.936